Here is a geometry-optimized TlCdIn structure from Alexandria via LeMat-Bulk. Energies are from PBEsol.

a b c (Å): 3.2379 4.5182 10.2304
angles (deg): 90.00 90.00 90.00
Space group Imm2 (No. 44)
Inequivalent atoms, fractional coordinates:
Tl: 0.0000 0.0000 0.0000 [2 per cell]
Cd: 0.0000 0.0000 0.6675 [2 per cell]
In: 0.0000 0.0000 0.3217 [2 per cell]

energy relative to the elements = 0.2 eV per formula unit
crystal system = orthorhombic



Here is a geometry-optimized LiScAu structure from Alexandria via LeMat-Bulk. Energies are from PBEsol.

a b c (Å): 4.3927 4.3927 3.1452
angles (deg): 90.00 90.00 120.00
Space group P-6m2 (No. 187)
Inequivalent atoms, fractional coordinates:
Li: 0.0000 0.0000 0.0000 [1 per cell]
Sc: 0.3333 0.6667 0.5000 [1 per cell]
Au: 0.6667 0.3333 0.0000 [1 per cell]

energy relative to the elements = -1.3 eV per formula unit
excess energy over the best structure of this formula in the dataset = 0.100 eV/atom
crystal system = hexagonal



Here is a geometry-optimized Sr3LiRh structure from Alexandria via LeMat-Bulk. Energies are from PBEsol.

a b c (Å): 5.8365 12.6953 9.5097
angles (deg): 90.00 90.00 90.00
Space group Cmcm (No. 63)
Inequivalent atoms, fractional coordinates:
Sr: 0.0000 0.0544 0.2500 [4 per cell]
Sr: 0.0000 0.3661 0.0513 [8 per cell]
Li: 0.0000 0.2458 0.7500 [4 per cell]
Rh: 0.0000 0.4474 0.7500 [4 per cell]

energy relative to the elements = -0.5 eV per formula unit
excess energy over the best structure of this formula in the dataset = 0.000 eV/atom
crystal system = orthorhombic



Here is a geometry-optimized GaTc3Sn structure from Alexandria via LeMat-Bulk. Energies are from PBEsol.

a b c (Å): 4.5050 4.5050 4.5050
angles (deg): 90.00 90.00 90.00
Space group Pm-3m (No. 221)
Inequivalent atoms, fractional coordinates:
Ga: 0.0000 0.0000 0.0000 [1 per cell]
Tc: 0.0000 0.0000 0.5000 [3 per cell]
Sn: 0.5000 0.5000 0.5000 [1 per cell]

energy relative to the elements = 6.4 eV per formula unit
crystal system = cubic



Here is a geometry-optimized LiTa2Al structure from Alexandria via LeMat-Bulk. Energies are from PBEsol.

a b c (Å): 2.7863 4.2678 5.6280
angles (deg): 90.00 104.25 90.00
Space group Pm (No. 6)
Inequivalent atoms, fractional coordinates:
Li: 0.0000 0.0000 0.0000 [1 per cell]
Ta: 0.2546 0.0000 0.5128 [1 per cell]
Ta: 0.6174 0.5000 0.2378 [1 per cell]
Al: 0.8747 0.5000 0.7536 [1 per cell]

energy relative to the elements = 0.5 eV per formula unit
excess energy over the best structure of this formula in the dataset = 0.000 eV/atom
crystal system = monoclinic



Here is a geometry-optimized LaP2RhO structure from Alexandria via LeMat-Bulk. Energies are from PBEsol.

a b c (Å): 4.4814 4.4814 4.3185
angles (deg): 90.00 90.00 90.00
Space group P4/mmm (No. 123)
Inequivalent atoms, fractional coordinates:
La: 0.0000 0.0000 0.0000 [1 per cell]
P: 0.0000 0.5000 0.5000 [2 per cell]
Rh: 0.5000 0.5000 0.5000 [1 per cell]
O: 0.5000 0.5000 0.0000 [1 per cell]

excess energy over the best structure of this formula in the dataset = 0.000 eV/atom
crystal system = tetragonal



Here is a geometry-optimized CaIrI2O structure from Alexandria via LeMat-Bulk. Energies are from PBEsol.

a b c (Å): 5.5979 5.5979 3.8059
angles (deg): 90.00 90.00 90.00
Space group P4/mmm (No. 123)
Inequivalent atoms, fractional coordinates:
Ca: 0.0000 0.0000 0.0000 [1 per cell]
Ir: 0.5000 0.5000 0.5000 [1 per cell]
I: 0.0000 0.5000 0.5000 [2 per cell]
O: 0.5000 0.5000 0.0000 [1 per cell]

total DFT energy (no corrections) = -23.72 eV per cell
crystal system = tetragonal



Here is a geometry-optimized KZnFe2Co structure from Alexandria via LeMat-Bulk. Energies are from PBEsol.

a b c (Å): 4.5118 4.5118 5.2176
angles (deg): 90.00 90.00 90.00
Space group P4/mmm (No. 123)
Inequivalent atoms, fractional coordinates:
K: 0.0000 0.0000 0.0000 [1 per cell]
Zn: 0.0000 0.0000 0.5000 [1 per cell]
Fe: 0.0000 0.5000 0.5000 [2 per cell]
Co: 0.5000 0.5000 0.0000 [1 per cell]

energy relative to the elements = 9.0 eV per formula unit
crystal system = tetragonal



Here is a geometry-optimized HfBi2 structure from Alexandria via LeMat-Bulk. Energies are from PBEsol.

a b c (Å): 10.1367 15.5104 3.9749
angles (deg): 90.00 90.00 90.00
Space group Pnnm (No. 58)
Inequivalent atoms, fractional coordinates:
Hf: 0.0242 0.2467 0.0000 [4 per cell]
Hf: 0.1609 0.5053 0.0000 [4 per cell]
Bi: 0.0143 0.3925 0.5000 [4 per cell]
Bi: 0.1244 0.0562 0.0000 [4 per cell]
Bi: 0.1530 0.8516 0.5000 [4 per cell]
Bi: 0.2374 0.1998 0.5000 [4 per cell]

energy relative to the elements = -0.6 eV per formula unit
crystal system = orthorhombic



Here is a geometry-optimized SrThP2S8 structure from Alexandria via LeMat-Bulk. Energies are from PBEsol.

a b c (Å): 11.0406 11.0406 9.5680
angles (deg): 90.00 90.00 90.00
Space group P4_2/mbc (No. 135)
Inequivalent atoms, fractional coordinates:
Sr: 0.0000 0.5000 0.2500 [4 per cell]
Th: 0.0000 0.0000 0.2500 [4 per cell]
P: 0.0357 0.2413 0.0000 [8 per cell]
S: 0.0703 0.7638 0.1757 [16 per cell]
S: 0.0820 0.8638 0.5000 [8 per cell]
S: 0.1084 0.3622 0.5000 [8 per cell]

total DFT energy (no corrections) = -278.02 eV per cell
crystal system = tetragonal



Here is a geometry-optimized Ca2YOs structure from Alexandria via LeMat-Bulk. Energies are from PBEsol.

a b c (Å): 3.7858 3.7858 6.8232
angles (deg): 90.00 90.00 90.00
Space group P4/mmm (No. 123)
Inequivalent atoms, fractional coordinates:
Ca: 0.0000 0.0000 0.2051 [2 per cell]
Y: 0.5000 0.5000 0.5000 [1 per cell]
Os: 0.5000 0.5000 0.0000 [1 per cell]

energy relative to the elements = 2.2 eV per formula unit
excess energy over the best structure of this formula in the dataset = 0.252 eV/atom
crystal system = tetragonal



Here is a geometry-optimized SiTc2Hg structure from Alexandria via LeMat-Bulk. Energies are from PBEsol.

a b c (Å): 4.1934 2.9131 10.0887
angles (deg): 90.00 90.00 90.00
Space group Amm2 (No. 38)
Inequivalent atoms, fractional coordinates:
Si: 0.0000 0.0000 0.0000 [2 per cell]
Tc: 0.0000 0.0000 0.7118 [2 per cell]
Tc: 0.5000 0.0000 0.1075 [2 per cell]
Hg: 0.5000 0.0000 0.3677 [2 per cell]

excess energy over the best structure of this formula in the dataset = 0.146 eV/atom
crystal system = orthorhombic



Here is a geometry-optimized AgIrCl2 structure from Alexandria via LeMat-Bulk. Energies are from PBEsol.

a b c (Å): 3.5283 3.5283 11.5165
angles (deg): 90.00 90.00 90.00
Space group I-4m2 (No. 119)
Inequivalent atoms, fractional coordinates:
Ag: 0.0000 0.0000 0.0000 [2 per cell]
Ir: 0.0000 0.5000 0.7500 [2 per cell]
Cl: 0.0000 0.0000 0.5000 [2 per cell]
Cl: 0.0000 0.5000 0.2500 [2 per cell]

excess energy over the best structure of this formula in the dataset = 0.114 eV/atom
crystal system = tetragonal



Here is a geometry-optimized K2AgN2 structure from Alexandria via LeMat-Bulk. Energies are from PBEsol.

a b c (Å): 4.9100 4.9100 9.1189
angles (deg): 90.00 90.00 90.00
Space group I4/mmm (No. 139)
Inequivalent atoms, fractional coordinates:
K: 0.0000 0.0000 0.1553 [4 per cell]
Ag: 0.0000 0.0000 0.5000 [2 per cell]
N: 0.0000 0.5000 0.2500 [4 per cell]

total DFT energy (no corrections) = -29.72 eV per cell
crystal system = tetragonal



Here is a geometry-optimized TeW3Br structure from Alexandria via LeMat-Bulk. Energies are from PBEsol.

a b c (Å): 4.6310 4.6310 4.6310
angles (deg): 90.00 90.00 90.00
Space group Pm-3m (No. 221)
Inequivalent atoms, fractional coordinates:
Te: 0.0000 0.0000 0.0000 [1 per cell]
W: 0.0000 0.5000 0.5000 [3 per cell]
Br: 0.5000 0.5000 0.5000 [1 per cell]

excess energy over the best structure of this formula in the dataset = 0.000 eV/atom
crystal system = cubic



Here is a geometry-optimized LaTa2Ru2 structure from Alexandria via LeMat-Bulk. Energies are from PBEsol.

a b c (Å): 4.3571 4.3571 10.6916
angles (deg): 90.00 90.00 90.00
Space group I4/mmm (No. 139)
Inequivalent atoms, fractional coordinates:
La: 0.0000 0.0000 0.0000 [2 per cell]
Ta: 0.0000 0.5000 0.2500 [4 per cell]
Ru: 0.0000 0.0000 0.3762 [4 per cell]

energy relative to the elements = -1.0 eV per formula unit
excess energy over the best structure of this formula in the dataset = 0.000 eV/atom
crystal system = tetragonal



Here is a geometry-optimized CaNb3P structure from Alexandria via LeMat-Bulk. Energies are from PBEsol.

a b c (Å): 4.6283 4.6283 4.6283
angles (deg): 90.00 90.00 90.00
Space group Pm-3m (No. 221)
Inequivalent atoms, fractional coordinates:
Ca: 0.0000 0.0000 0.0000 [1 per cell]
Nb: 0.0000 0.0000 0.5000 [3 per cell]
P: 0.5000 0.5000 0.5000 [1 per cell]

energy relative to the elements = 11.7 eV per formula unit
crystal system = cubic



Here is a geometry-optimized CaAu2Br structure from Alexandria via LeMat-Bulk. Energies are from PBEsol.

a b c (Å): 7.0572 7.0572 7.0572
angles (deg): 90.00 90.00 90.00
Space group Fm-3m (No. 225)
Inequivalent atoms, fractional coordinates:
Ca: 0.0000 0.0000 0.0000 [4 per cell]
Au: 0.2500 0.2500 0.2500 [8 per cell]
Br: 0.0000 0.0000 0.5000 [4 per cell]

excess energy over the best structure of this formula in the dataset = 0.411 eV/atom
crystal system = cubic



Here is a geometry-optimized LiTcHg2 structure from Alexandria via LeMat-Bulk. Energies are from PBEsol.

a b c (Å): 4.7473 4.7473 2.9704
angles (deg): 90.00 90.00 90.00
Space group P4/mmm (No. 123)
Inequivalent atoms, fractional coordinates:
Li: 0.0000 0.0000 0.0000 [1 per cell]
Tc: 0.5000 0.5000 0.0000 [1 per cell]
Hg: 0.0000 0.5000 0.5000 [2 per cell]

energy relative to the elements = 0.4 eV per formula unit
excess energy over the best structure of this formula in the dataset = 0.000 eV/atom
crystal system = tetragonal



Here is a geometry-optimized AsIr2Au structure from Alexandria via LeMat-Bulk. Energies are from PBEsol.

a b c (Å): 2.8793 4.5499 4.7880
angles (deg): 90.00 90.00 90.00
Space group Pmm2 (No. 25)
Inequivalent atoms, fractional coordinates:
As: 0.0000 0.0000 0.0000 [1 per cell]
Ir: 0.0000 0.5000 0.2998 [1 per cell]
Ir: 0.5000 0.0000 0.4168 [1 per cell]
Au: 0.5000 0.5000 0.7835 [1 per cell]

energy relative to the elements = 1.2 eV per formula unit
crystal system = orthorhombic



Here is a geometry-optimized EuPd structure from Alexandria via LeMat-Bulk. Energies are from PBEsol.

a b c (Å): 3.9684 10.8818 4.3583
angles (deg): 90.00 90.00 90.00
Space group Cmcm (No. 63)
Inequivalent atoms, fractional coordinates:
Eu: 0.0000 0.1403 0.2500 [4 per cell]
Pd: 0.0000 0.4209 0.2500 [4 per cell]

energy relative to the elements = -1.3 eV per formula unit
crystal system = orthorhombic



Here is a geometry-optimized Zr3Tl2Cu2Se8 structure from Alexandria via LeMat-Bulk. Energies are from PBEsol.

a b c (Å): 14.4875 3.7774 14.2127
angles (deg): 90.00 113.54 90.00
Space group C2/m (No. 12)
Inequivalent atoms, fractional coordinates:
Zr: 0.0000 0.0000 0.0000 [2 per cell]
Zr: 0.1603 0.0000 0.3784 [4 per cell]
Tl: 0.1596 0.0000 0.7951 [4 per cell]
Cu: 0.0487 0.5000 0.1960 [4 per cell]
Se: 0.0206 0.5000 0.3515 [4 per cell]
Se: 0.1073 0.5000 0.9527 [4 per cell]
Se: 0.1515 0.0000 0.1875 [4 per cell]
Se: 0.1957 0.0000 0.5798 [4 per cell]

total DFT energy (no corrections) = -173.12 eV per cell
crystal system = monoclinic



Here is a geometry-optimized BaMg2Cr structure from Alexandria via LeMat-Bulk. Energies are from PBEsol.

a b c (Å): 3.3891 3.3891 31.8755
angles (deg): 90.00 90.00 120.00
Space group R-3m (No. 166, hexagonal axes)
Inequivalent atoms, fractional coordinates:
Ba: 0.0000 0.0000 0.0000 [3 per cell]
Mg: 0.0000 0.0000 0.2352 [6 per cell]
Cr: 0.0000 0.0000 0.5000 [3 per cell]

energy relative to the elements = 2.5 eV per formula unit
excess energy over the best structure of this formula in the dataset = 0.033 eV/atom
crystal system = trigonal



Here is a geometry-optimized TaNiIr2 structure from Alexandria via LeMat-Bulk. Energies are from PBEsol.

a b c (Å): 2.7263 2.7263 26.3230
angles (deg): 90.00 90.00 120.00
Space group R3m (No. 160, hexagonal axes)
Inequivalent atoms, fractional coordinates:
Ta: 0.0000 0.0000 0.0000 [3 per cell]
Ni: 0.0000 0.0000 0.7492 [3 per cell]
Ir: 0.0000 0.0000 0.2461 [3 per cell]
Ir: 0.0000 0.0000 0.4940 [3 per cell]

energy relative to the elements = -0.1 eV per formula unit
crystal system = trigonal



Here is a geometry-optimized La2Y structure from Alexandria via LeMat-Bulk. Energies are from PBEsol.

a b c (Å): 7.1351 5.1194 10.7977
angles (deg): 90.00 90.00 90.00
Space group Pnma (No. 62)
Inequivalent atoms, fractional coordinates:
La: 0.1214 0.2500 0.2496 [4 per cell]
La: 0.1222 0.2500 0.5824 [4 per cell]
Y: 0.1270 0.2500 0.9176 [4 per cell]

energy relative to the elements = 0.1 eV per formula unit
excess energy over the best structure of this formula in the dataset = 0.006 eV/atom
crystal system = orthorhombic



Number 1: magnetic moment 0.00 μB/f.u.. Number 2: magnetic moment 0.00 μB/f.u.. Number 3: magnetic moment 0.00 μB/f.u.. Number 4: magnetic moment 3.30 μB/f.u.. Number 5: magnetic moment 0.00 μB/f.u.. Number 6: magnetic moment 0.00 μB/f.u.. Number 7: magnetic moment 0.00 μB/f.u.. Number 8: magnetic moment 7.50 μB/f.u.. Number 9: magnetic moment 0.00 μB/f.u.. Number 10: magnetic moment 0.00 μB/f.u.. Number 11: magnetic moment 0.00 μB/f.u.. Number 12: magnetic moment 0.00 μB/f.u.. Number 13: magnetic moment 0.93 μB/f.u.. Number 14: magnetic moment 3.09 μB/f.u.. Number 15: magnetic moment 0.00 μB/f.u.. Number 16: magnetic moment 0.00 μB/f.u.. Number 17: magnetic moment 0.00 μB/f.u.. Number 18: magnetic moment 0.00 μB/f.u.. Number 19: magnetic moment 0.00 μB/f.u.. Number 20: magnetic moment 0.00 μB/f.u.. Number 21: magnetic moment 6.95 μB/f.u.. Number 22: magnetic moment 0.00 μB/f.u.. Number 23: magnetic moment 4.19 μB/f.u.. Number 24: magnetic moment 0.00 μB/f.u.. Number 25: magnetic moment 0.00 μB/f.u..